w:
Material: LaIn6Ni3
Method: DFT, GGA-PBE
State: relaxed

Cell: 4.419 8.259 11.872 Å, 81.09 90.00 90.00°
Fractional positions:
La: 0.750 0.026 0.784
La: 0.250 0.974 0.216
In: 0.750 0.383 0.539
In: 0.250 0.617 0.461
In: 0.750 0.773 0.046
In: 0.250 0.227 0.954
In: 0.750 0.374 0.106
In: 0.250 0.626 0.894
In: 0.750 0.653 0.284
In: 0.250 0.347 0.716
In: 0.750 0.090 0.415
In: 0.250 0.910 0.585
In: 0.750 0.650 0.703
In: 0.250 0.350 0.297
Ni: 0.750 0.393 0.861
Ni: 0.250 0.607 0.139
Ni: 0.750 0.773 0.486
Ni: 0.250 0.227 0.514
Ni: 0.750 0.092 0.027
Ni: 0.250 0.908 0.973

**Calculated density**: 7.79 g/cm³
**DOS(E_F)**: 8.132 states/eV per cell

=====

x:
Material: LaIn6Ni3
Method: DFT, GGA-PBE
State: relaxed

Cell: 4.421 7.665 12.223 Å, 90.00 90.00 90.00°
Fractional positions:
La: 0.500 0.500 0.677
La: 0.000 0.000 0.323
In: 0.000 0.705 0.839
In: 0.000 0.801 0.583
In: 0.000 0.500 0.250
In: 0.500 0.205 0.161
In: 0.000 0.000 0.010
In: 0.000 0.295 0.839
In: 0.500 0.500 0.990
In: 0.500 0.795 0.161
In: 0.500 0.301 0.417
In: 0.000 0.199 0.583
In: 0.500 0.699 0.417
In: 0.500 0.000 0.750
Ni: 0.500 0.000 0.534
Ni: 0.000 0.500 0.466
Ni: 0.000 0.325 0.065
Ni: 0.000 0.675 0.065
Ni: 0.500 0.175 0.935
Ni: 0.500 0.825 0.935

**Calculated density**: 8.05 g/cm³
**DOS(E_F)**: 10.355 states/eV per cell

=====

Sorted by energy, starting with the most stable: x, w.

=====

w:
Material: LaIn4Ni2
Method: DFT, GGA-PBE
State: relaxed

Cell: 4.543 7.095 18.392 Å, 90.00 90.00 90.00°
Fractional positions:
La: 0.750 0.977 0.639
La: 0.250 0.023 0.361
La: 0.250 0.477 0.861
La: 0.750 0.523 0.139
In: 0.250 0.265 0.697
In: 0.750 0.735 0.303
In: 0.750 0.765 0.803
In: 0.250 0.235 0.197
In: 0.250 0.672 0.684
In: 0.750 0.328 0.316
In: 0.750 0.172 0.816
In: 0.250 0.828 0.184
In: 0.250 0.162 0.532
In: 0.750 0.838 0.468
In: 0.750 0.662 0.968
In: 0.250 0.338 0.032
In: 0.250 0.509 0.427
In: 0.750 0.491 0.573
In: 0.750 0.009 0.073
In: 0.250 0.991 0.927
Ni: 0.250 0.757 0.540
Ni: 0.750 0.243 0.460
Ni: 0.750 0.257 0.960
Ni: 0.250 0.743 0.040
Ni: 0.250 0.964 0.782
Ni: 0.750 0.036 0.218
Ni: 0.750 0.464 0.718
Ni: 0.250 0.536 0.282

**Calculated density**: 8.02 g/cm³
**DOS(E_F)**: 14.891 states/eV per cell

=====

x:
Material: LaIn4Ni2
Method: DFT, GGA-PBE
State: relaxed

Cell: 4.488 4.478 8.048 Å, 106.15 90.00 90.00°
Fractional positions:
La: 0.000 0.000 0.000
In: 0.500 0.832 0.663
In: 0.000 0.671 0.342
In: 0.500 0.168 0.337
In: 0.000 0.329 0.658
Ni: 0.500 0.577 0.153
Ni: 0.500 0.423 0.847

**Calculated density**: 7.65 g/cm³
**DOS(E_F)**: 5.263 states/eV per cell

=====

Sorted by energy, starting with the most stable: w, x.

=====

w:
Material: LaIn4Ni4
Method: DFT, GGA-PBE
State: relaxed

Cell: 5.116 8.548 8.548 Å, 90.00 90.00 90.00°
Fractional positions:
La: 0.000 0.000 0.000
La: 0.500 0.500 0.500
In: 0.398 0.346 0.889
In: 0.898 0.611 0.846
In: 0.398 0.654 0.111
In: 0.102 0.154 0.611
In: 0.602 0.889 0.654
In: 0.102 0.846 0.389
In: 0.898 0.389 0.154
In: 0.602 0.111 0.346
Ni: 0.603 0.802 0.348
Ni: 0.603 0.198 0.652
Ni: 0.103 0.848 0.698
Ni: 0.897 0.302 0.848
Ni: 0.897 0.698 0.152
Ni: 0.397 0.348 0.198
Ni: 0.397 0.652 0.802
Ni: 0.103 0.152 0.302

**Calculated density**: 7.40 g/cm³
**DOS(E_F)**: 12.394 states/eV per cell

=====

x:
Material: LaIn4Ni4
Method: DFT, GGA-PBE
State: relaxed

Cell: 6.023 6.023 9.396 Å, 90.00 90.00 90.00°
Fractional positions:
La: 0.000 0.000 0.000
La: 0.500 0.500 0.500
In: 0.500 0.767 0.808
In: 0.500 0.233 0.808
In: 0.767 0.500 0.192
In: 0.233 0.500 0.192
In: 0.267 0.000 0.308
In: 0.733 0.000 0.308
In: 0.000 0.267 0.692
In: 0.000 0.733 0.692
Ni: 0.202 0.500 0.916
Ni: 0.798 0.500 0.916
Ni: 0.500 0.798 0.084
Ni: 0.500 0.202 0.084
Ni: 0.000 0.702 0.416
Ni: 0.000 0.298 0.416
Ni: 0.298 0.000 0.584
Ni: 0.702 0.000 0.584

**Calculated density**: 8.12 g/cm³
**DOS(E_F)**: 12.853 states/eV per cell

=====

Sorted by energy, starting with the most stable: x, w.

=====

w:
Material: LaIn2NiPb
Method: DFT, GGA-PBE
State: relaxed

Cell: 5.030 5.030 5.231 Å, 90.00 90.00 90.00°
Fractional positions:
Pb: 0.500 0.500 0.500
Ni: 0.000 0.000 0.000
In: 0.000 0.500 0.000
In: 0.500 0.000 0.000
La: 0.000 0.000 0.500

**Calculated density**: 7.96 g/cm³
**DOS(E_F)**: 2.961 states/eV per cell

=====

x:
Material: LaIn2NiPb
Method: DFT, GGA-PBE
State: relaxed

Cell: 4.978 4.978 5.266 Å, 90.00 90.00 90.00°
Fractional positions:
Pb: 0.000 0.000 0.500
Ni: 0.000 0.000 0.000
In: 0.000 0.500 0.000
In: 0.500 0.000 0.000
La: 0.500 0.500 0.500

**Calculated density**: 8.07 g/cm³
**DOS(E_F)**: 3.664 states/eV per cell

=====

Sorted by energy, starting with the most stable: w, x.

=====

w:
Material: La2InNiSn
Method: DFT, GGA-PBE
State: relaxed

Cell: 5.365 5.365 4.940 Å, 90.00 90.00 90.00°
Fractional positions:
Ni: 0.000 0.000 0.000
In: 0.000 0.000 0.500
Sn: 0.500 0.500 0.500
La: 0.000 0.500 0.000
La: 0.500 0.000 0.000

**Calculated density**: 6.66 g/cm³
**DOS(E_F)**: 3.380 states/eV per cell

=====

x:
Material: La2InNiSn
Method: DFT, GGA-PBE
State: relaxed

Cell: 5.410 5.410 4.897 Å, 90.00 90.00 90.00°
Fractional positions:
Ni: 0.000 0.000 0.000
In: 0.500 0.500 0.500
Sn: 0.000 0.000 0.500
La: 0.000 0.500 0.000
La: 0.500 0.000 0.000

**Calculated density**: 6.60 g/cm³
**DOS(E_F)**: 4.306 states/eV per cell

=====

Sorted by energy, starting with the most stable: w, x.

=====

w:
Material: SrLa2InNi
Method: DFT, GGA-PBE
State: relaxed

Cell: 5.392 5.392 5.751 Å, 90.00 90.00 90.00°
Fractional positions:
Sr: 0.000 0.000 0.500
In: 0.500 0.500 0.500
Ni: 0.000 0.000 0.000
La: 0.000 0.500 0.000
La: 0.500 0.000 0.000

**Calculated density**: 5.35 g/cm³
**DOS(E_F)**: 6.720 states/eV per cell

=====

x:
Material: SrLa2InNi
Method: DFT, GGA-PBE
State: relaxed

Cell: 5.535 5.535 5.205 Å, 90.00 90.00 90.00°
Fractional positions:
Sr: 0.500 0.500 0.500
In: 0.000 0.000 0.500
Ni: 0.000 0.000 0.000
La: 0.000 0.500 0.000
La: 0.500 0.000 0.000

**Calculated density**: 5.61 g/cm³
**DOS(E_F)**: 6.233 states/eV per cell

=====

Sorted by energy, starting with the most stable: x, w.

=====

w:
Material: LaInO
Method: DFT, GGA-PBE
State: relaxed

Cell: 3.442 3.442 10.993 Å, 90.00 90.00 90.00°
Fractional positions:
In: 0.000 0.500 0.599
In: 0.500 0.000 0.401
La: 0.000 0.500 0.140
La: 0.500 0.000 0.860
O: 0.500 0.000 0.081
O: 0.000 0.500 0.919

**Calculated density**: 6.88 g/cm³
**DOS(E_F)**: 2.665 states/eV per cell

=====

x:
Material: LaInO
Method: DFT, GGA-PBE
State: relaxed

Cell: 4.116 4.116 8.586 Å, 90.00 90.00 90.00°
Fractional positions:
La: 0.000 0.500 0.361
La: 0.500 0.000 0.639
In: 0.000 0.500 0.922
In: 0.500 0.000 0.078
O: 0.500 0.500 0.500
O: 0.000 0.000 0.500

**Calculated density**: 6.16 g/cm³
**DOS(E_F)**: 3.817 states/eV per cell

=====

Sorted by energy, starting with the most stable: x, w.

=====

w:
Material: LaIn3Os
Method: DFT, GGA-PBE
State: relaxed

Cell: 5.148 5.148 5.148 Å, 90.00 90.00 90.00°
Fractional positions:
In: 0.000 0.500 0.000
In: 0.000 0.000 0.500
In: 0.500 0.000 0.000
Os: 0.000 0.000 0.000
La: 0.500 0.500 0.500

**Calculated density**: 8.20 g/cm³
**DOS(E_F)**: 1.849 states/eV per cell

=====

x:
Material: LaIn3Os
Method: DFT, GGA-PBE
State: relaxed

Cell: 5.825 5.825 5.825 Å, 90.00 90.00 90.00°
Fractional positions:
In: 0.000 0.500 0.000
In: 0.000 0.000 0.500
In: 0.500 0.000 0.000
Os: 0.500 0.500 0.500
La: 0.000 0.000 0.000

**Calculated density**: 5.66 g/cm³
**DOS(E_F)**: 11.495 states/eV per cell

=====

Sorted by energy, starting with the most stable: w, x.

=====

w:
Material: La3InP
Method: DFT, GGA-PBE
State: relaxed

Cell: 4.266 8.726 9.153 Å, 98.26 90.00 90.00°
Fractional positions:
La: 0.515 0.588 0.748
La: 0.515 0.819 0.370
La: 0.015 0.180 0.636
La: 0.015 0.507 0.081
La: 0.015 0.948 0.013
La: 0.515 0.261 0.302
In: 0.015 0.533 0.466
In: 0.515 0.235 0.917
P: 0.515 0.728 0.053
P: 0.015 0.039 0.331

**Calculated density**: 5.54 g/cm³
**DOS(E_F)**: 8.772 states/eV per cell

=====

x:
Material: La3InP
Method: DFT, GGA-PBE
State: relaxed

Cell: 5.592 5.592 5.592 Å, 90.00 90.00 90.00°
Fractional positions:
P: 0.000 0.000 0.000
In: 0.500 0.500 0.500
La: 0.000 0.500 0.000
La: 0.000 0.000 0.500
La: 0.500 0.000 0.000

**Calculated density**: 5.34 g/cm³
**DOS(E_F)**: 2.909 states/eV per cell

=====

Sorted by energy, starting with the most stable: w, x.

=====

w:
Material: LaIn3P
Method: DFT, GGA-PBE
State: relaxed

Cell: 5.224 5.224 5.224 Å, 90.00 90.00 90.00°
Fractional positions:
P: 0.000 0.000 0.000
In: 0.000 0.500 0.000
In: 0.000 0.000 0.500
In: 0.500 0.000 0.000
La: 0.500 0.500 0.500

**Calculated density**: 5.99 g/cm³
**DOS(E_F)**: 3.612 states/eV per cell

=====

x:
Material: LaIn3P
Method: DFT, GGA-PBE
State: relaxed

Cell: 6.067 6.067 6.067 Å, 90.00 90.00 90.00°
Each line ends with the local moment (μB).
Fractional positions:
P: 0.500 0.500 0.500  0.47
In: 0.000 0.500 0.000  -0.03
In: 0.000 0.000 0.500  -0.03
In: 0.500 0.000 0.000  -0.04
La: 0.000 0.000 0.000  -0.10

**Calculated density**: 3.82 g/cm³
**DOS(E_F)**: 3.681 states/eV per cell

=====

Sorted by energy, starting with the most stable: w, x.

=====

w:
Material: LaPaIn2
Method: DFT, GGA-PBE
State: relaxed

Cell: 3.313 3.313 11.551 Å, 81.76 81.76 60.00°
Fractional positions:
Pa: 0.000 0.000 0.000
In: 0.748 0.748 0.756
In: 0.252 0.252 0.244
La: 0.500 0.500 0.500

**Calculated density**: 9.20 g/cm³
**DOS(E_F)**: 5.865 states/eV per cell

=====

x:
Material: LaPaIn2
Method: DFT, GGA-PBE
State: relaxed

Cell: 4.672 4.828 4.828 Å, 90.00 90.00 90.00°
Fractional positions:
Pa: 0.500 0.500 0.500
In: 0.000 0.000 0.500
In: 0.000 0.500 0.000
La: 0.500 0.000 0.000

**Calculated density**: 9.14 g/cm³
**DOS(E_F)**: 6.082 states/eV per cell

=====

y:
Material: LaPaIn2
Method: DFT, GGA-PBE
State: relaxed

Cell: 3.380 3.380 9.514 Å, 90.00 90.00 90.00°
Fractional positions:
Pa: 0.500 0.500 0.000
In: 0.000 0.000 0.760
In: 0.000 0.000 0.240
La: 0.500 0.500 0.500

**Calculated density**: 9.16 g/cm³
**DOS(E_F)**: 6.409 states/eV per cell

=====

Sorted by energy, starting with the most stable: y, x, w.